Density functional theory data (GGA-PBE) for SrBeSi2 after structural relaxation.

abc: 4.1642 4.1642 5.9257
angles: 75.28 75.28 53.57
With the nearest neighbours (Å) after each atom.
Fractional coordinates of all 4 atoms:
Sr 0.7500 0.7500 0.7500  6 Si 3.15-3.18, 4 Be 3.51
Si 0.9825 0.9825 0.1248  3 Be 2.31-2.52, 2 Si 2.45
Si 0.5175 0.5175 0.3752  3 Be 2.31-2.52, 2 Si 2.45
Be 0.2500 0.2500 0.2500  6 Si 2.31-2.52

Calculated values
Uncorrected formation energy ... -0.121 eV/atom
Calculated total energy ... -16.7 eV per cell
Space-group type ... C2/m (12)